No. 1
Material: Sc3Zn
Method: DFT, PBE-GGA
State: optimized geometry

Cell: 5.9667 5.9667 5.9667 Å, 146.30 132.31 59.67°
Closest atoms and distances in Å follow each position.
Sites, in units of the cell vectors:
Sc (0.0000, 0.0000, 0.0000)  4 Zn 2.97, 4 Sc 3.31
Sc (0.2817, 0.7817, 0.5000)  2 Zn 2.85, 4 Sc 3.04
Sc (0.7183, 0.2183, 0.5000)  2 Zn 2.85, 4 Sc 3.04
Zn (0.5000, 0.5000, 0.0000)  8 Sc 2.85-2.97

Results
energy relative to the elements	-0.1719	eV per atom
symmetry	Immm
uncorrected energy	-5.24	eV/atom

No. 2
Material: Sc2Zn3
Method: DFT, PBE-GGA
State: optimized geometry

Cell: 13.0387 13.0387 4.3635 Å, 90.00 90.00 165.73°
Closest atoms and distances in Å follow each position.
Sites, in units of the cell vectors:
Sc (0.0741, 0.9259, 0.7500)  12 Zn 2.97-3.05, 2 Sc 3.24
Sc (0.2130, 0.7870, 0.2500)  7 Zn 2.89-2.93, 2 Sc 3.24
Sc (0.7870, 0.2130, 0.7500)  7 Zn 2.89-2.93, 2 Sc 3.24
Sc (0.9259, 0.0741, 0.2500)  12 Zn 2.97-3.05, 2 Sc 3.24
Zn (0.3261, 0.6739, 0.2500)  2 Zn 2.59
Zn (0.3797, 0.6203, 0.7500)  3 Zn 2.50-2.59
Zn (0.4764, 0.5236, 0.7500)  3 Zn 2.50
Zn (0.5236, 0.4764, 0.2500)  3 Zn 2.50
Zn (0.6203, 0.3797, 0.2500)  3 Zn 2.50-2.59
Zn (0.6739, 0.3261, 0.7500)  2 Zn 2.59

Results
energy relative to the elements	-0.3315	eV per atom
symmetry	Cmcm
uncorrected energy	-3.63	eV/atom

No. 3
Material: Sc2Zn17
Method: DFT, PBE-GGA
State: optimized geometry

Cell: 6.7144 6.7144 6.7144 Å, 82.44 82.44 82.44°
Closest atoms and distances in Å follow each position.
Sites, in units of the cell vectors:
Sc (0.1674, 0.1674, 0.1674)  16 Zn 3.03-3.35
Sc (0.8326, 0.8326, 0.8326)  16 Zn 3.03-3.35
Zn (0.0000, 0.5000, 0.5000)  10 Zn 2.57-2.69
Zn (0.1454, 0.1454, 0.6630)  8 Zn 2.50-2.75
Zn (0.1454, 0.6630, 0.1454)  8 Zn 2.50-2.75
Zn (0.1973, 0.5000, 0.8027)  8 Zn 2.57-2.75
Zn (0.1973, 0.8027, 0.5000)  8 Zn 2.57-2.75
Zn (0.3370, 0.8546, 0.8546)  8 Zn 2.50-2.75
Zn (0.3990, 0.3990, 0.3990)  7 Zn 2.64-2.85
Zn (0.5000, 0.0000, 0.5000)  10 Zn 2.57-2.69
Zn (0.5000, 0.1973, 0.8027)  8 Zn 2.57-2.75
Zn (0.5000, 0.5000, 0.0000)  10 Zn 2.57-2.69
Zn (0.5000, 0.8027, 0.1973)  8 Zn 2.57-2.75
Zn (0.6010, 0.6010, 0.6010)  7 Zn 2.64-2.85
Zn (0.6630, 0.1454, 0.1454)  8 Zn 2.50-2.75
Zn (0.8027, 0.1973, 0.5000)  8 Zn 2.57-2.75
Zn (0.8027, 0.5000, 0.1973)  8 Zn 2.57-2.75
Zn (0.8546, 0.3370, 0.8546)  8 Zn 2.50-2.75
Zn (0.8546, 0.8546, 0.3370)  8 Zn 2.50-2.75

Results
energy relative to the elements	-0.1676	eV per atom
symmetry	R-3m
uncorrected energy	-1.97	eV/atom

> Which formula does entry 2 have?

Sc2Zn3